Entry from Alexandria via LeMat-Bulk: a relaxed structure of ZrNb2MoO (GGA+U).

The structure belongs to space group P4/mmm (No. 123); the cell edges are 4.347, 4.347 and 4.417 Å and the angles 90.00°, 90.00° and 90.00°. The asymmetric unit holds Zr at (0.000, 0.000, 0.000), Nb at (0.000, 0.500, 0.500), Mo at (0.500, 0.500, 0.000) and O at (0.500, 0.500, 0.500).

The density is 7.7 g cm⁻³. As for the total DFT energy (no corrections): -8.45 eV per atom.